(1)
Ba2MgCr | PBE | optimized geometry

The structure belongs to space group Cm (No. 8); the cell edges are 13.395, 4.244 and 6.021 Å and the angles 90.00°, 116.63° and 90.00°. The inequivalent atoms are Ba at (0.000, 0.000, 0.000), Ba at (0.202, 0.000, 0.702), Mg at (0.421, 0.000, 0.421) and Cr at (0.255, 0.500, 0.254).

Its calculated formation energy is 0.399 eV/atom. The energy comes out at -3.367 eV per atom. For the density of states at the Fermi level, the calculation gives 1.0741 states/eV per atom.

---

(2)
LiLuTl2 | PBE | optimized geometry

The structure belongs to space group P4/mmm (No. 123); the cell edges are 5.046, 5.046 and 3.782 Å and the angles 90.00°, 90.00° and 90.00°. The inequivalent atoms are Li at (0.000, 0.000, 0.000), Lu at (0.500, 0.500, 0.000) and Tl at (0.000, 0.500, 0.500).

Its calculated formation energy is -0.278 eV/atom. The energy comes out at -3.069 eV per atom. For the density of states at the Fermi level, the calculation gives 0.4682 states/eV per atom.

---

(3)
Cd2SiTcSn | PBE | optimized geometry

The structure belongs to space group P4/mmm (No. 123); the cell edges are 5.233, 5.233 and 5.073 Å and the angles 90.00°, 90.00° and 90.00°. The inequivalent atoms are Cd at (0.000, 0.500, 0.000), Si at (0.000, 0.000, 0.500), Tc at (0.500, 0.500, 0.000) and Sn at (0.500, 0.500, 0.500).

The energy comes out at -3.352 eV per atom. The calculation puts the uncorrected formation energy at 0.97 eV/atom. For the density of states at the Fermi level, the calculation gives 1.0055 states/eV per atom.

---

(4)
Pb5I | PBE | optimized geometry

The structure belongs to space group Cmmm (No. 65); the cell edges are 4.437, 17.103 and 5.253 Å and the angles 90.00°, 90.00° and 90.00°. The inequivalent atoms are Pb at (0.000, 0.000, 0.000), Pb at (0.000, 0.179, 0.500), Pb at (0.000, 0.327, 0.000) and I at (0.000, 0.500, 0.500).

The energy comes out at -3.350 eV per atom. The calculation puts the uncorrected formation energy at 0.00 eV/atom. For the density of states at the Fermi level, the calculation gives 0.5491 states/eV per atom.

---

(5)
TmCo2SiH | PBE | optimized geometry

The structure belongs to space group Cmcm (No. 63); the cell edges are 3.568, 10.097 and 6.737 Å and the angles 90.00°, 90.00° and 90.00°. The inequivalent atoms are Tm at (0.000, 0.056, 0.250), Co at (0.000, 0.339, 0.056), Si at (0.000, 0.224, 0.750) and H at (0.000, 0.500, 0.000).

The energy comes out at -6.092 eV per atom. For the density of states at the Fermi level, the calculation gives 1.0848 states/eV per atom.

---

(6)
YCo5B2 | PBE | optimized geometry

The structure belongs to space group Immm (No. 71); the cell edges are 3.416, 6.230 and 8.403 Å and the angles 90.00°, 90.00° and 90.00°. The inequivalent atoms are Y at (0.000, 0.000, 0.000), Co at (0.000, 0.188, 0.342), Co at (0.000, 0.500, 0.000) and B at (0.000, 0.500, 0.238).

Its calculated formation energy is -0.270 eV/atom. The energy comes out at -7.189 eV per atom. For the density of states at the Fermi level, the calculation gives 1.2040 states/eV per atom.

---

(7)
ScFe2W | PBE | optimized geometry

The structure belongs to space group R-3m (No. 166, hexagonal axes); the cell edges are 2.9389, 2.9389 and 24.1504 Å and the angles 90.00°, 90.00° and 120.00°. The inequivalent atoms are Sc at (0.0000, 0.0000, 0.0000), Fe at (0.0000, 0.0000, 0.2443) and W at (0.0000, 0.0000, 0.5000).

Its calculated formation energy is 0.345 eV/atom. The energy comes out at -8.707 eV per atom. For the density of states at the Fermi level, the calculation gives 1.1609 states/eV per atom.

---

(8)
DyY6Ho12 | PBE | optimized geometry

The structure belongs to space group R-3m (No. 166, hexagonal axes); the cell edges are 13.1117, 13.1117 and 12.5895 Å and the angles 90.00°, 90.00° and 120.00°. The inequivalent atoms are Dy at (0.0000, 0.0000, 0.0000), Y at (0.0382, 0.5191, 0.6201), Ho at (0.0000, 0.2567, 0.5000) and Ho at (0.0912, 0.1824, 0.2640).

Its calculated formation energy is 0.218 eV/atom. The energy comes out at -4.957 eV per atom. For the density of states at the Fermi level, the calculation gives 1.8232 states/eV per atom.

---

(9)
Ca5MgIn4 | PBE | optimized geometry

The structure belongs to space group P4/mmm (No. 123); the cell edges are 3.902, 3.902 and 19.057 Å and the angles 90.00°, 90.00° and 90.00°. The inequivalent atoms are Ca at (0.000, 0.000, 0.000), Ca at (0.000, 0.000, 0.198), Ca at (0.000, 0.000, 0.395), Mg at (0.500, 0.500, 0.500), In at (0.500, 0.500, 0.099) and In at (0.500, 0.500, 0.297).

Its calculated formation energy is -0.398 eV/atom. The energy comes out at -2.653 eV per atom. For the density of states at the Fermi level, the calculation gives 0.6618 states/eV per atom.

---

(10)
Pr2MgGe | PBE | optimized geometry

The structure belongs to space group R-3m (No. 166, hexagonal axes); the cell edges are 4.1369, 4.1369 and 31.3600 Å and the angles 90.00°, 90.00° and 120.00°. The inequivalent atoms are Pr at (0.0000, 0.0000, 0.1130), Mg at (0.0000, 0.0000, 0.0000) and Ge at (0.0000, 0.0000, 0.5000).

Its calculated formation energy is -0.049 eV/atom. The energy comes out at -3.991 eV per atom. For the density of states at the Fermi level, the calculation gives 0.9035 states/eV per atom.

---

(11)
TiTlMo | PBE | optimized geometry

The structure belongs to space group I4mm (No. 107); the cell edges are 3.390, 3.390 and 9.591 Å and the angles 90.00°, 90.00° and 90.00°. The inequivalent atoms are Ti at (0.000, 0.000, 0.000), Tl at (0.000, 0.000, 0.312) and Mo at (0.000, 0.000, 0.625).

Its calculated formation energy is 0.191 eV/atom. The energy comes out at -6.840 eV per atom. For the density of states at the Fermi level, the calculation gives 1.0245 states/eV per atom.